1.
VASP calculation (PBE-GGA) on crystalline Mn2AsP at its relaxed geometry.

```
Mn2AsP
1.0
9.790 0.050 0.029
9.385 2.785 0.029
9.385 1.388 2.415
As Mn P
1 2 1
direct
0.723 0.723 0.723
0.989 0.989 0.989
0.256 0.256 0.256
0.532 0.532 0.532
```

Its space group is R3m (160). For the total energy, the calculation gives -6.992 eV/atom. For the formation energy from the elements, the calculation gives 0.11 eV/atom.

=====

2.
VASP calculation (PBE-GGA) on crystalline Fe2TcP2 at its relaxed geometry.

```
Fe2TcP2
1.0
6.568 0.000 0.000
0.000 6.568 0.000
0.000 0.000 2.621
P Tc Fe
4 2 4
direct
0.346 0.846 0.000
0.846 0.654 0.000
0.654 0.154 0.000
0.154 0.346 0.000
0.000 0.000 0.000
0.500 0.500 0.000
0.143 0.643 0.500
0.643 0.857 0.500
0.857 0.357 0.500
0.357 0.143 0.500
```

Its space group is P4/mbm (127). For the total energy, the calculation gives -7.922 eV/atom. For the formation energy from the elements, the calculation gives -0.30 eV/atom.

=====

3.
VASP calculation (PBE-GGA) on crystalline Ti3MnAl3Ru2 at its relaxed geometry.

```
Ti3MnAl3Ru2
1.0
3.019 0.000 0.000
0.000 7.132 0.000
0.000 -3.566 6.177
Ti Mn Al Ru
3 1 3 2
direct
0.500 0.730 0.000
0.500 0.000 0.730
0.500 0.270 0.270
0.000 0.000 0.000
0.000 0.622 0.622
0.000 0.000 0.378
0.000 0.378 0.000
0.500 0.667 0.333
0.500 0.333 0.667
```

Its space group is P-62m (189). For the total energy, the calculation gives -7.475 eV/atom. For the formation energy from the elements, the calculation gives -0.52 eV/atom.

=====

4.
VASP calculation (PBE-GGA) on crystalline Nd13Ga2 at its relaxed geometry.

```
Nd13Ga2
1.0
6.771 -0.244 0.181
-1.168 8.446 -0.111
-0.331 -4.320 8.778
Nd Ga
13 2
direct
0.761 0.593 0.013
0.239 0.407 0.987
0.000 0.000 0.000
0.185 0.995 0.639
0.815 0.005 0.361
0.042 0.448 0.666
0.958 0.552 0.334
0.476 0.656 0.426
0.524 0.344 0.574
0.441 0.787 0.850
0.559 0.213 0.150
0.722 0.118 0.769
0.278 0.882 0.231
0.819 0.730 0.672
0.181 0.270 0.328
```

Its space group is P-1 (2). For the total energy, the calculation gives -4.623 eV/atom. For the formation energy from the elements, the calculation gives -0.09 eV/atom.

=====

5.
VASP calculation (PBE-GGA) on crystalline HfSbTe2 at its relaxed geometry.

```
HfSbTe2
1.0
-0.459 7.733 6.285
0.477 -6.267 7.746
2.823 0.918 6.992
Sb Te Hf
2 4 2
direct
0.500 0.500 0.000
0.250 0.750 0.500
0.761 0.125 0.250
0.989 0.625 0.250
0.375 0.239 0.750
0.875 0.011 0.750
0.000 0.000 0.000
0.750 0.250 0.500
```

Its space group is I-42d (122). For the total energy, the calculation gives -5.231 eV/atom. For the energy relative to the elements, uncorrected, the calculation gives -0.14 eV/atom.

=====

6.
VASP calculation (PBE-GGA) on crystalline HoEr4Sc3S8 at its relaxed geometry.

```
HoEr4Sc3S8
1.0
-6.929 1.996 -2.464
-2.781 -6.650 2.434
3.789 4.541 4.805
Ho Er Sc S
1 4 3 8
direct
0.000 0.500 0.000
0.500 0.000 0.000
0.500 0.000 0.500
0.000 0.000 0.000
0.000 0.000 0.500
0.500 0.500 0.000
0.500 0.500 0.500
0.000 0.500 0.500
0.251 0.743 0.992
0.251 0.743 0.501
0.254 0.262 0.508
0.741 0.743 0.992
0.259 0.257 0.008
0.746 0.738 0.492
0.749 0.257 0.499
0.749 0.257 0.008
```

Its space group is R-3m (166). For the total energy, the calculation gives -6.589 eV/atom. For the energy relative to the elements, uncorrected, the calculation gives -1.91 eV/atom.